(1)
Pr2Cd2Ag3 after structural relaxation. Source: Alexandria via LeMat-Bulk, functional PBE.

Cell lengths 5.920, 5.920, 7.240 Å; angles 109.16, 109.16, 46.16 degrees
Atoms (fractional coordinates):
Pr 0.139 0.139 0.258
Pr 0.861 0.861 0.742
Cd 0.152 0.152 0.719
Cd 0.848 0.848 0.281
Ag 0.393 0.393 0.073
Ag 0.500 0.500 0.500
Ag 0.607 0.607 0.927

Space group ... C2/m
Crystal system ... monoclinic
DFT total energy ... -3.0918 eV/atom
Energy of formation ... -243 meV/atom



(2)
Cu3AsRu after structural relaxation. Source: Alexandria via LeMat-Bulk, functional PBE.

Cell lengths 4.586, 4.586, 4.586 Å; angles 90.00, 90.00, 90.00 degrees
Atoms (fractional coordinates):
Cu 0.000 0.000 0.500
Cu 0.000 0.500 0.000
Cu 0.500 0.000 0.000
As 0.500 0.500 0.500
Ru 0.000 0.000 0.000

Space group ... Pm-3m
Crystal system ... cubic
DFT total energy ... -3.9054 eV/atom
Energy of formation ... 1337 meV/atom



(3)
InAsP2 after structural relaxation. Source: Alexandria via LeMat-Bulk, functional PBE.

Cell lengths 6.260, 6.260, 6.260 Å; angles 145.22, 145.22, 50.00 degrees
Atoms (fractional coordinates):
In 0.000 0.000 0.000
As 0.750 0.250 0.500
P 0.250 0.750 0.500
P 0.500 0.500 0.000

Space group ... I-4m2
Crystal system ... tetragonal
DFT total energy ... -4.0475 eV/atom
Energy of formation ... 504 meV/atom



(4)
KSrAl2 after structural relaxation. Source: Alexandria via LeMat-Bulk, functional PBE.

Cell lengths 11.351, 11.351, 11.351 Å; angles 18.76, 18.76, 18.76 degrees
Atoms (fractional coordinates):
K 0.000 0.000 0.000
Sr 0.500 0.500 0.500
Al 0.245 0.245 0.245
Al 0.755 0.755 0.755

Space group ... R-3m
Crystal system ... trigonal
DFT total energy ... -2.1817 eV/atom
Energy of formation ... 384 meV/atom



(5)
BaLa3Ru after structural relaxation. Source: Alexandria via LeMat-Bulk, functional PBE.

Cell lengths 5.765, 5.765, 11.056 Å; angles 90.00, 90.00, 120.00 degrees
Atoms (fractional coordinates):
Ba 0.333 0.667 0.250
Ba 0.667 0.333 0.750
La 0.000 0.000 0.250
La 0.000 0.000 0.750
La 0.333 0.667 0.579
La 0.333 0.667 0.921
La 0.667 0.333 0.079
La 0.667 0.333 0.421
Ru 0.000 0.000 0.000
Ru 0.000 0.000 0.500

Space group ... P6_3/mmc
Crystal system ... hexagonal
DFT total energy ... -5.0748 eV/atom
Energy of formation ... 121 meV/atom



(6)
TlSe2O after structural relaxation. Source: Alexandria via LeMat-Bulk, functional PBE.

Cell lengths 7.231, 7.231, 7.231 Å; angles 35.83, 35.83, 35.83 degrees
Atoms (fractional coordinates):
Tl 0.000 0.000 0.000
Se 0.408 0.408 0.408
Se 0.592 0.592 0.592
O 0.500 0.500 0.500

Uncorrected formation energy ... 0.3 eV/f.u.
Space group ... R-3m
Crystal system ... trigonal
DFT total energy ... -3.4875 eV/atom



Number 1: energy above the most stable polymorph in this dataset 0.000 eV per atom. Number 2: energy above the most stable polymorph in this dataset 0.423 eV per atom. Number 3: energy above the most stable polymorph in this dataset 0.441 eV per atom. Number 4: energy above the most stable polymorph in this dataset 0.303 eV per atom. Number 5: energy above the most stable polymorph in this dataset 0.268 eV per atom. Number 6: energy above the most stable polymorph in this dataset 0.186 eV per atom.